No. 1
A relaxed AcCeSnTe crystal, computed with GGA-PBE.

Lattice parameters (Å, degrees): 7.9840 7.9840 7.9840 90.00 90.00 90.00
Space group F-43m (No. 216)
Asymmetric unit:
Ac 0.0000 0.0000 0.0000
Ce 0.0000 0.0000 0.5000
Sn 0.2500 0.2500 0.7500
Te 0.2500 0.2500 0.2500

Output
Crystal system: cubic
Final energy (Ha/atom): -0.189
Formation energy (no corrections) (eV/atom): -0.85


No. 2
A relaxed BeCu4Ge crystal, computed with GGA-PBE.

Lattice parameters (Å, degrees): 16.6800 4.3486 4.1854 90.00 104.48 90.00
Space group C2/c (No. 15)
Asymmetric unit:
Be 0.0000 0.1826 0.2500
Cu 0.0743 0.3103 0.8224
Cu 0.1550 0.2001 0.4032
Ge 0.2500 0.2500 0.0000

Output
Crystal system: monoclinic
Final energy (Ha/atom): -0.150
ΔH_f (0 K) (eV per atom): 0.04


No. 3
A relaxed FeTc2Ir crystal, computed with GGA-PBE.

Lattice parameters (Å, degrees): 6.0652 6.0652 6.0652 90.00 90.00 90.00
Space group Fm-3m (No. 225)
Asymmetric unit:
Fe 0.0000 0.0000 0.0000
Tc 0.2500 0.2500 0.2500
Ir 0.0000 0.0000 0.5000

Output
Crystal system: cubic
Final energy (Ha/atom): -0.333
ΔH_f (0 K) (eV per atom): 0.46


No. 4
A relaxed SrReIr crystal, computed with GGA-PBE.

Lattice parameters (Å, degrees): 4.8006 4.8006 2.9092 90.00 90.00 120.00
Space group P-6m2 (No. 187)
Asymmetric unit:
Sr 0.0000 0.0000 0.0000
Re 0.3333 0.6667 0.5000
Ir 0.6667 0.3333 0.5000

Output
Crystal system: hexagonal
Final energy (Ha/atom): -0.251
ΔH_f (0 K) (eV per atom): 0.85


No. 5
A relaxed LaPm6Er2Th crystal, computed with GGA-PBE.

Lattice parameters (Å, degrees): 9.5160 15.1217 9.5352 90.00 95.10 90.00
Space group C2/c (No. 15)
Asymmetric unit:
La 0.0000 0.0379 0.2500
Pm 0.0627 0.1763 0.9388
Pm 0.0928 0.3875 0.1138
Pm 0.2176 0.2233 0.3148
Er 0.2484 0.4497 0.4458
Th 0.0000 0.4105 0.7500

Output
Crystal system: monoclinic
Final energy (Ha/atom): -0.178
ΔH_f (0 K) (eV per atom): 0.14


No. 6
A relaxed Pr3SmTl3 crystal, computed with GGA-PBE.

Lattice parameters (Å, degrees): 8.3351 11.0041 9.9473 90.00 91.17 90.00
Space group C2/m (No. 12)
Asymmetric unit:
Pr 0.0000 0.1785 0.0000
Pr 0.0000 0.2358 0.5000
Pr 0.0828 0.5000 0.8178
Sm 0.2189 0.5000 0.4571
Tl 0.0333 0.0000 0.2670
Tl 0.2344 0.2833 0.2369

Output
Crystal system: monoclinic
Final energy (Ha/atom): -0.145
ΔH_f (0 K) (eV per atom): -0.21


No. 7
A relaxed Ca3Si7Os2 crystal, computed with GGA-PBE.

Lattice parameters (Å, degrees): 4.1989 30.6098 4.1970 90.00 90.00 90.00
Space group Cmmm (No. 65)
Asymmetric unit:
Ca 0.0000 0.0000 0.0000
Ca 0.0000 0.1901 0.0000
Si 0.0000 0.1104 0.5000
Si 0.0000 0.3406 0.5000
Si 0.0000 0.3894 0.0000
Si 0.0000 0.5000 0.5000
Os 0.0000 0.4265 0.5000

Output
Crystal system: orthorhombic
Final energy (Ha/atom): -0.205
Formation energy (no corrections) (eV/atom): -0.05


No. 8
A relaxed Pr2Nd6DyTm crystal, computed with GGA-PBE.

Lattice parameters (Å, degrees): 9.2520 15.4194 9.8795 90.00 98.59 90.00
Space group C2/c (No. 15)
Asymmetric unit:
Pr 0.2460 0.0503 0.0424
Nd 0.0623 0.1853 0.4448
Nd 0.1031 0.3955 0.6187
Nd 0.2055 0.2202 0.8093
Dy 0.0000 0.0192 0.7500
Tm 0.0000 0.4085 0.2500

Output
Crystal system: monoclinic
Final energy (Ha/atom): -0.169
ΔH_f (0 K) (eV per atom): 0.11


No. 9
A relaxed Hg2TeMo crystal, computed with GGA-PBE.

Lattice parameters (Å, degrees): 3.5357 4.8449 5.2822 90.00 90.00 90.00
Space group Pmmm (No. 47)
Asymmetric unit:
Hg 0.0000 0.0000 0.0000
Hg 0.5000 0.5000 0.0000
Te 0.0000 0.5000 0.5000
Mo 0.5000 0.0000 0.5000

Output
Crystal system: orthorhombic
Final energy (Ha/atom): -0.110
Formation energy (no corrections) (eV/atom): 0.66


No. 10
A relaxed ThPaRh crystal, computed with GGA-PBE.

Lattice parameters (Å, degrees): 7.0371 5.8764 7.8966 90.00 109.94 90.00
Space group C2 (No. 5)
Asymmetric unit:
Th 0.0000 0.0000 0.0000
Th 0.0000 0.0699 0.5000
Pa 0.0347 0.5604 0.6794
Rh 0.1930 0.4761 0.1307

Output
Crystal system: monoclinic
Final energy (Ha/atom): -0.305
ΔH_f (0 K) (eV per atom): -0.21


No. 11
A relaxed BaAs2HBr crystal, computed with GGA-PBE.

Lattice parameters (Å, degrees): 4.3381 4.3381 6.4557 90.00 90.00 90.00
Space group P4/mmm (No. 123)
Asymmetric unit:
Ba 0.0000 0.0000 0.0000
As 0.0000 0.5000 0.5000
H 0.5000 0.5000 0.5000
Br 0.5000 0.5000 0.0000

Output
Crystal system: tetragonal
Final energy (Ha/atom): -0.132


No. 12
A relaxed PuZn12Ag6 crystal, computed with GGA-PBE.

Lattice parameters (Å, degrees): 11.5407 11.5407 8.9143 90.00 90.00 120.00
Space group R-3m (No. 166, hexagonal axes)
Asymmetric unit:
Pu 0.0000 0.0000 0.0000
Zn 0.0000 0.3918 0.5000
Zn 0.0827 0.1654 0.2911
Ag 0.0566 0.5283 0.2356

Output
Crystal system: trigonal
Final energy (Ha/atom): -0.089
ΔH_f (0 K) (eV per atom): 0.03


No. 13
A relaxed BeTeAs3 crystal, computed with GGA-PBE.

Lattice parameters (Å, degrees): 4.6122 4.6122 4.6122 90.00 90.00 90.00
Space group Pm-3m (No. 221)
Asymmetric unit:
Be 0.0000 0.0000 0.0000
Te 0.5000 0.5000 0.5000
As 0.0000 0.0000 0.5000

Output
Crystal system: cubic
Final energy (Ha/atom): -0.135
Formation energy (no corrections) (eV/atom): 0.48


No. 14
A relaxed Ac2TbUO8 crystal, computed with GGA-PBE.

Lattice parameters (Å, degrees): 4.0108 7.7890 5.7328 90.00 90.10 90.00
Space group P2/m (No. 10)
Asymmetric unit:
Ac 0.0000 0.2482 0.0000
Tb 0.5000 0.5000 0.5000
U 0.5000 0.0000 0.5000
O 0.0002 0.5000 0.2688
O 0.0016 0.0000 0.2867
O 0.4991 0.2220 0.7234

Output
Crystal system: monoclinic
Final energy (Ha/atom): -0.312
Formation energy (no corrections) (eV/atom): -3.18


No. 15
A relaxed Ga4PdRh crystal, computed with GGA-PBE.

Lattice parameters (Å, degrees): 8.3078 11.9663 5.9321 90.00 134.37 90.00
Space group C2/c (No. 15)
Asymmetric unit:
Ga 0.2416 0.0026 0.2419
Ga 0.2501 0.2475 0.2442
Pd 0.0000 0.3760 0.2500
Rh 0.0000 0.1258 0.7500

Output
Crystal system: monoclinic
Final energy (Ha/atom): -0.168
ΔH_f (0 K) (eV per atom): -0.45


No. 16
A relaxed Tb7Tl2Cd2 crystal, computed with GGA-PBE.

Lattice parameters (Å, degrees): 7.7717 11.2371 7.9611 90.00 90.00 90.00
Space group Cmmm (No. 65)
Asymmetric unit:
Tb 0.0000 0.0000 0.0000
Tb 0.0000 0.5000 0.2702
Tb 0.2500 0.2500 0.2912
Tl 0.0000 0.2970 0.0000
Cd 0.1755 0.0000 0.5000

Output
Crystal system: orthorhombic
Final energy (Ha/atom): -0.129
ΔH_f (0 K) (eV per atom): 0.02


No. 17
A relaxed HfAs2RuO crystal, computed with GGA-PBE.

Lattice parameters (Å, degrees): 4.5405 4.5405 5.1870 90.00 90.00 90.00
Space group P4/mmm (No. 123)
Asymmetric unit:
Hf 0.0000 0.0000 0.0000
As 0.0000 0.5000 0.5000
Ru 0.0000 0.0000 0.5000
O 0.5000 0.5000 0.0000

Output
Crystal system: tetragonal
Final energy (Ha/atom): -0.228
Formation energy (no corrections) (eV/atom): 0.48


No. 18
A relaxed V4RhW crystal, computed with GGA-PBE.

Lattice parameters (Å, degrees): 9.5886 3.0392 6.0325 90.00 108.24 90.00
Space group C2/m (No. 12)
Asymmetric unit:
V 0.1688 0.0000 0.3365
V 0.1721 0.0000 0.8333
Rh 0.0000 0.5000 0.0000
W 0.0000 0.5000 0.5000

Output
Crystal system: monoclinic
Final energy (Ha/atom): -0.356
ΔH_f (0 K) (eV per atom): -0.23


No. 19
A relaxed Fe4RhN crystal, computed with GGA-PBE.

Lattice parameters (Å, degrees): 6.7397 4.1361 5.3570 90.00 90.00 90.00
Space group Pnc2 (No. 30)
Asymmetric unit:
Fe 0.1237 0.2473 0.0000
Fe 0.2299 0.7283 0.7505
Rh 0.5000 0.0000 0.5068
N 0.0000 0.0000 0.7488

Output
Crystal system: orthorhombic
Final energy (Ha/atom): -0.293
Formation energy (no corrections) (eV/atom): 0.29


No. 20
A relaxed NbV2Pd6 crystal, computed with GGA-PBE.

Lattice parameters (Å, degrees): 10.1588 9.3202 7.1387 90.00 124.86 90.00
Space group C2/c (No. 15)
Asymmetric unit:
Nb 0.0000 0.1598 0.2500
V 0.1788 0.3934 0.4316
Pd 0.0533 0.3721 0.9852
Pd 0.1056 0.1048 0.6844
Pd 0.2353 0.1365 0.1523

Output
Crystal system: monoclinic
Final energy (Ha/atom): -0.247
ΔH_f (0 K) (eV per atom): -0.13